Entry from the Alexandria database: a geometry-optimized AcTb6Dy3Ho2 structure (PBE).

Cell: 6.206 10.743 11.885 Å, 90.00 100.00 90.00°
Space group C2/m (No. 12)
Inequivalent atoms, fractional coordinates:
Ac  0.000  0.000  0.000 (multiplicity 2)
Tb  0.247  0.332  0.746 (multiplicity 8)
Tb  0.249  0.500  0.254 (multiplicity 4)
Dy  0.000  0.167  0.500 (multiplicity 4)
Dy  0.000  0.500  0.500 (multiplicity 2)
Ho  0.000  0.333  0.000 (multiplicity 4)

Magnetic moment (μB per cell): 0.00
Mass density (Mg/m³): 8.50
DFT formation energy (eV per atom): 0.030